The following is a DFT calculation (PBEsol) of a relaxed Ag2IrBr crystal.

a = 3.017 Å, b = 4.636 Å, c = 4.833 Å
α = 90.00°, β = 90.00°, γ = 90.00°
Sites, in units of the cell vectors:
Ag (0.000, 0.000, 0.000)
Ag (0.500, 0.500, 0.000)
Ir (0.000, 0.500, 0.500)
Br (0.500, 0.000, 0.500)

Properties
Its total magnetization is 0.000 μB per atom. Its uncorrected formation energy is 656 meV/atom. Its total energy is -15.7 eV/cell. As for the symmetry: Pmmm, No. 47. The relative energy among the computed polymorphs is 0.1180 eV per atom.